[1]
Here is In5Bi4 after structural relaxation from Alexandria. Energies are from PBE.

## Properties
energy of formation = 1.05 kcal/mol of atoms
SG = P6_3/mcm

The structure in extended XYZ format:
```
18
Lattice="9.6623 0.0000 0.0000 -4.8311 8.3678 0.0000 0.0000 0.0000 6.6707" Properties=species:S:1:pos:R:3 pbc="T T T"
In -1.6944 2.9347 1.6677
In -3.1368 5.4330 5.0031
In 0.0000 5.5785 0.0000
In 0.0000 5.5785 3.3354
In 3.3887 0.0000 1.6677
In 1.6944 2.9347 5.0031
In 6.2735 0.0000 5.0031
In 3.1368 5.4330 1.6677
In 4.8311 2.7892 0.0000
In 4.8311 2.7892 3.3354
Bi 0.0000 0.0000 0.0000
Bi 0.0000 0.0000 3.3354
Bi -1.5207 2.6339 5.0031
Bi -3.3105 5.7339 1.6677
Bi 3.0413 0.0000 5.0031
Bi 1.5207 2.6339 1.6677
Bi 6.6209 0.0000 1.6677
Bi 3.3105 5.7339 5.0031
```

---

[2]
Here is La2Tb15Sc2 after structural relaxation from Alexandria. Energies are from PBE.

## Properties
energy of formation = 6.10 kcal/mol of atoms
SG = R-3m

The structure in extended XYZ format:
```
19
Lattice="5.6356 3.2537 5.7822 -5.6356 3.2537 5.7822 0.0000 -6.5075 5.7822" Properties=species:S:1:pos:R:3 pbc="T T T"
La 0.0000 0.0000 3.0471
La 0.0000 0.0000 14.2994
Tb -2.8178 -1.6269 5.7822
Tb 0.0000 -3.3168 5.3259
Tb -2.8724 1.6584 5.3259
Tb -1.6463 -2.8515 8.6733
Tb -3.2927 0.0000 8.6733
Tb -2.8724 -1.6584 12.0206
Tb -2.8178 1.6269 11.5644
Tb 1.6463 -2.8515 8.6733
Tb 0.0000 3.2537 5.7822
Tb -1.6463 2.8515 8.6733
Tb 2.8724 1.6584 5.3259
Tb 3.2927 0.0000 8.6733
Tb 1.6463 2.8515 8.6733
Tb 2.8724 -1.6584 12.0206
Tb 0.0000 3.3168 12.0206
Sc 0.0000 0.0000 7.0916
Sc 0.0000 0.0000 10.2550
```

---

[3]
Here is CaNd3Pu2Se6 after structural relaxation from Alexandria. Energies are from PBE.

## Properties
E_form (uncorrected) = -21.1 eV/f.u.
SG = C2/m

The structure in extended XYZ format:
```
12
Lattice="3.6300 -6.2892 0.0000 3.6300 6.2892 0.0000 -2.4247 0.0000 6.8846" Properties=species:S:1:pos:R:3 pbc="T T T"
Ca 0.0000 0.0000 0.0000
Nd 2.4176 4.1963 3.4423
Nd 2.4176 0.0000 3.4423
Nd 2.4176 -4.1963 3.4423
Pu 3.6300 2.0957 0.0000
Pu 3.6300 -2.0957 0.0000
Se 1.2086 2.0950 1.6739
Se -0.0043 0.0000 5.2146
Se 1.2086 -2.0950 1.6739
Se 3.6266 2.0950 5.2107
Se 4.8395 0.0000 1.6700
Se 3.6266 -2.0950 5.2107
```

---

Total DFT energy (no corrections) values (in eV/atom) by entry order: -3.20, -4.58, -7.25.
Magnetic moment values (in μB per cell) by entry order: 0.0, 2.4, 11.7.